Sc2PI3: optimized geometry, PBE.

Unit cell a=4.032 b=10.617 c=10.564 alpha=83.33 beta=79.00 gamma=79.05
Atoms (fractional coordinates):
Sc: 0.131 0.550 0.188
Sc: 0.869 0.450 0.812
I: 0.675 0.666 0.984
Sc: 0.582 0.314 0.522
I: 0.325 0.334 0.016
P: 0.586 0.494 0.334
I: 0.222 0.180 0.377
Sc: 0.418 0.686 0.478
P: 0.414 0.506 0.666
I: 0.778 0.820 0.623
I: 0.040 0.193 0.727
I: 0.960 0.807 0.273

Computed properties:
* calculated total energy: -4.926 eV/atom
* ΔE_f (raw): -1.1393 eV per atom
* space-group type: No. 12
* total magnetization: 0.000 μB per atom